NiSb PBE relaxed; raw total energy = -4.9707 eV/atom; symmetry = Pmma, No. 51
1.0
3.138 0.000 0.000
0.000 3.998 0.000
0.000 0.000 6.342
Ni Sb
2 2
Direct
0.000 0.000 0.051
0.000 0.500 0.282
0.500 0.000 0.407
0.500 0.500 0.927

NiSb2 PBE relaxed; raw total energy = -4.7971 eV/atom; symmetry = P-3m1, No. 164
1.0
-3.654 0.995 0.895
1.345 -3.525 0.951
1.623 1.853 4.569
Sb Ni
2 1
Direct
0.333 0.667 0.762
0.667 0.333 0.238
0.000 0.000 0.000

Raw formation energy (computed, eV/atom): -0.019; -0.122